1.
This record from the Alexandria database describes an optimized crystal structure of Er2TmThSb4. The functional is PBE.

abc: 7.5954 4.3988 7.6001
angles: 90.00 109.50 90.00
Closest atoms and distances in Å follow each position.
Atoms (fractional coordinates):
Er1 0.0000 0.0000 0.0000  6 Sb 3.06
Er2 0.5000 0.5000 0.0000  6 Sb 3.11
Tm1 0.0000 0.5000 0.5000  6 Sb 3.10
Th1 0.5000 0.0000 0.5000  6 Sb 3.15
Sb1 0.2418 0.5000 0.2426  3 Er 3.06-3.11, 1 Tm 3.10, 2 Th 3.15
Sb2 0.2457 0.0000 0.7528  3 Er 3.06-3.11, 2 Tm 3.10, 1 Th 3.15
Sb3 0.7543 0.0000 0.2472  3 Er 3.06-3.11, 2 Tm 3.10, 1 Th 3.15
Sb4 0.7582 0.5000 0.7574  3 Er 3.06-3.11, 1 Tm 3.10, 2 Th 3.15

Formation energy (no corrections), kJ/mol of formula units: -808



2.
This record from the Alexandria database describes an optimized crystal structure of RbCdPIr. The functional is PBE.

abc: 4.0131 4.0131 13.4431
angles: 90.00 90.00 90.00
Closest atoms and distances in Å follow each position.
Atoms (fractional coordinates):
Rb1 0.2500 0.2500 0.2461  4 P 3.49, 4 Ir 3.87
Rb2 0.7500 0.7500 0.7539  4 P 3.49, 4 Ir 3.87
Cd1 0.2500 0.7500 0.5000  4 Cd 2.84
Cd2 0.7500 0.2500 0.5000  4 Cd 2.84
P1 0.2500 0.2500 0.9053  4 Ir 2.38
P2 0.7500 0.7500 0.0947  4 Ir 2.38
Ir1 0.2500 0.7500 0.0000  4 P 2.38
Ir2 0.7500 0.2500 0.0000  4 P 2.38

Energy of formation, eV per atom: -0.392



3.
This record from the Alexandria database describes an optimized crystal structure of LaPm2Sn. The functional is PBE.

abc: 11.4356 11.4356 11.4356
angles: 18.50 18.50 18.50
Closest atoms and distances in Å follow each position.
Atoms (fractional coordinates):
La1 0.0000 0.0000 0.0000  6 La 3.68, 6 Pm 3.71-3.72
Pm1 0.5766 0.5766 0.5766  3 Sn 3.34, 6 Pm 3.68, 3 La 3.71
Pm2 0.7573 0.7573 0.7573  3 Sn 3.32, 6 Pm 3.68, 3 La 3.72
Sn1 0.1666 0.1666 0.1666  6 Pm 3.32-3.34, 6 Sn 3.68

Offset from the most stable computed form, eV/atom: 0.2611
Energy of formation, eV per atom: -0.199



4.
This record from the Alexandria database describes an optimized crystal structure of ScFeSb. The functional is PBE.

abc: 5.3310 5.3310 5.3310
angles: 123.34 100.56 105.49
Closest atoms and distances in Å follow each position.
Atoms (fractional coordinates):
Sc1 0.1558 0.2500 0.4058  4 Fe 2.79-2.84, 3 Sb 3.03-3.04
Sc2 0.8442 0.7500 0.5942  4 Fe 2.79-2.84, 3 Sb 3.03-3.04
Fe1 0.6515 0.1515 0.5000  2 Fe 2.53, 4 Sb 2.72-2.82, 2 Sc 2.79
Fe2 0.6515 0.6515 0.0000  2 Fe 2.53, 4 Sb 2.72-2.82, 2 Sc 2.79
Sb1 0.1296 0.5594 0.0702  4 Fe 2.72-2.82, 3 Sc 3.03-3.04
Sb2 0.4891 0.0594 0.9298  4 Fe 2.72-2.82, 3 Sc 3.03-3.04

Formation energy (no corrections), kJ/mol of formula units: -102



5.
This record from the Alexandria database describes an optimized crystal structure of Tl2CoSe. The functional is PBE.

abc: 7.5973 7.5973 7.5973
angles: 29.12 29.12 29.12
Closest atoms and distances in Å follow each position.
Atoms (fractional coordinates):
Tl1 0.2434 0.2434 0.2434  3 Co 2.77, 3 Se 2.95
Tl2 0.7566 0.7566 0.7566  3 Co 2.77, 3 Se 2.95
Co1 0.5000 0.5000 0.5000  6 Tl 2.77
Se1 0.0000 0.0000 0.0000  6 Tl 2.95

Formation energy (no corrections), kJ/mol of formula units: 143
Offset from the most stable computed form, eV/atom: 0.3657



6.
This record from the Alexandria database describes an optimized crystal structure of PmDy12Sc3. The functional is PBE.

abc: 4.9519 4.9519 19.7360
angles: 90.00 90.00 90.00
Closest atoms and distances in Å follow each position.
Atoms (fractional coordinates):
Pm1 0.0000 0.0000 0.0000  12 Dy 3.50-3.57
Dy1 0.0000 0.5000 0.1301  2 Sc 3.47, 8 Dy 3.48-3.57, 2 Pm 3.57
Dy2 0.0000 0.5000 0.3768  8 Dy 3.46-3.50, 4 Sc 3.47
Dy3 0.0000 0.5000 0.6232  8 Dy 3.46-3.50, 4 Sc 3.47
Dy4 0.0000 0.5000 0.8699  2 Sc 3.47, 8 Dy 3.48-3.57, 2 Pm 3.57
Dy5 0.5000 0.0000 0.1301  2 Sc 3.47, 8 Dy 3.48-3.57, 2 Pm 3.57
Dy6 0.5000 0.0000 0.3768  8 Dy 3.46-3.50, 4 Sc 3.47
Dy7 0.5000 0.0000 0.6232  8 Dy 3.46-3.50, 4 Sc 3.47
Dy8 0.5000 0.0000 0.8699  2 Sc 3.47, 8 Dy 3.48-3.57, 2 Pm 3.57
Dy9 0.5000 0.5000 0.0000  4 Pm 3.50, 8 Dy 3.57
Dy10 0.5000 0.5000 0.2543  8 Dy 3.46-3.48, 4 Sc 3.50
Dy11 0.5000 0.5000 0.5000  8 Dy 3.47, 4 Sc 3.50
Dy12 0.5000 0.5000 0.7457  8 Dy 3.46-3.48, 4 Sc 3.50
Sc1 0.0000 0.0000 0.2532  12 Dy 3.47-3.50
Sc2 0.0000 0.0000 0.5000  12 Dy 3.47-3.50
Sc3 0.0000 0.0000 0.7468  12 Dy 3.47-3.50

Energy of formation, eV per atom: 0.037



7.
This record from the Alexandria database describes an optimized crystal structure of Sr5Tl2N. The functional is PBE.

abc: 9.6389 7.5192 15.2417
angles: 90.00 90.00 90.00
Closest atoms and distances in Å follow each position.
Atoms (fractional coordinates):
Sr1 0.0000 0.0000 0.0000  2 N 2.71
Sr2 0.0000 0.5000 0.0000  2 N 2.71
Sr3 0.0378 0.2500 0.2006  1 N 2.53
Sr4 0.1592 0.5026 0.6091  1 N 2.54
Sr5 0.1592 0.9974 0.6091  1 N 2.54
Sr6 0.2187 0.7500 0.3956  1 N 2.70
Sr7 0.2813 0.2500 0.8956  1 N 2.70
Sr8 0.3408 0.0026 0.1091  1 N 2.54
Sr9 0.3408 0.4974 0.1091  1 N 2.54
Sr10 0.4622 0.7500 0.7006  1 N 2.53
Sr11 0.5000 0.0000 0.5000  2 N 2.71
Sr12 0.5000 0.5000 0.5000  2 N 2.71
Sr13 0.5378 0.2500 0.2994  1 N 2.53
Sr14 0.6592 0.5026 0.8909  1 N 2.54
Sr15 0.6592 0.9974 0.8909  1 N 2.54
Sr16 0.7187 0.7500 0.1044  1 N 2.70
Sr17 0.7813 0.2500 0.6044  1 N 2.70
Sr18 0.8408 0.0026 0.3909  1 N 2.54
Sr19 0.8408 0.4974 0.3909  1 N 2.54
Sr20 0.9622 0.7500 0.7994  1 N 2.53
Tl1 0.0278 0.7500 0.2095  6 Sr 3.38-3.76
Tl2 0.1887 0.2500 0.4087  10 Sr 3.49-3.84
Tl3 0.3113 0.7500 0.9087  10 Sr 3.49-3.84
Tl4 0.4722 0.2500 0.7095  6 Sr 3.38-3.76
Tl5 0.5278 0.7500 0.2905  6 Sr 3.38-3.76
Tl6 0.6887 0.2500 0.0913  10 Sr 3.49-3.84
Tl7 0.8113 0.7500 0.5913  10 Sr 3.49-3.84
Tl8 0.9722 0.2500 0.7905  6 Sr 3.38-3.76
N1 0.1793 0.2500 0.0604  6 Sr 2.53-2.71
N2 0.3207 0.7500 0.5604  6 Sr 2.53-2.71
N3 0.6793 0.2500 0.4396  6 Sr 2.53-2.71
N4 0.8207 0.7500 0.9396  6 Sr 2.53-2.71

Formation energy (no corrections), kJ/mol of formula units: -298



8.
This record from the Alexandria database describes an optimized crystal structure of NaV2SiRu. The functional is PBE.

abc: 4.5496 4.5496 4.4390
angles: 90.00 90.00 90.00
Closest atoms and distances in Å follow each position.
Atoms (fractional coordinates):
Na1 0.0000 0.0000 0.0000  8 V 3.18, 4 Ru 3.22
V1 0.0000 0.5000 0.5000  2 Si 2.27
V2 0.5000 0.0000 0.5000  2 Si 2.27
Si1 0.5000 0.5000 0.5000  2 Ru 2.22, 4 V 2.27
Ru1 0.5000 0.5000 0.0000  2 Si 2.22

Formation energy (no corrections), kJ/mol of formula units: 427



9.
This record from the Alexandria database describes an optimized crystal structure of Ba2SrGd. The functional is PBE.

abc: 6.6159 6.6159 6.6159
angles: 60.00 60.00 60.00
Closest atoms and distances in Å follow each position.
Atoms (fractional coordinates):
Ba1 0.2500 0.2500 0.2500  4 Gd 4.05, 4 Sr 4.05
Ba2 0.7500 0.7500 0.7500  4 Gd 4.05, 4 Sr 4.05
Sr1 0.0000 0.0000 0.0000  8 Ba 4.05
Gd1 0.5000 0.5000 0.5000  8 Ba 4.05

Offset from the most stable computed form, eV/atom: 0.0555
Energy of formation, eV per atom: 0.190



10.
This record from the Alexandria database describes an optimized crystal structure of YAl3. The functional is PBE.

abc: 4.2616 4.2616 4.2616
angles: 90.00 90.00 90.00
Closest atoms and distances in Å follow each position.
Atoms (fractional coordinates):
Y1 0.0000 0.0000 0.0000  12 Al 3.01
Al1 0.0000 0.5000 0.5000  8 Al 3.01, 4 Y 3.01
Al2 0.5000 0.0000 0.5000  8 Al 3.01, 4 Y 3.01
Al3 0.5000 0.5000 0.0000  8 Al 3.01, 4 Y 3.01

Energy of formation, eV per atom: -0.423



11.
This record from the Alexandria database describes an optimized crystal structure of K2YNpO6. The functional is PBE.

abc: 6.0885 6.0885 6.0885
angles: 60.00 60.00 60.00
Closest atoms and distances in Å follow each position.
Atoms (fractional coordinates):
K1 0.2500 0.2500 0.2500  12 O 3.05
K2 0.7500 0.7500 0.7500  12 O 3.05
Y1 0.0000 0.0000 0.0000  6 O 2.27
Np1 0.5000 0.5000 0.5000  6 O 2.03
O1 0.2639 0.2639 0.7361  1 Np 2.03, 1 Y 2.27
O2 0.2639 0.7361 0.2639  1 Np 2.03, 1 Y 2.27
O3 0.2639 0.7361 0.7361  1 Np 2.03, 1 Y 2.27
O4 0.7361 0.2639 0.2639  1 Np 2.03, 1 Y 2.27
O5 0.7361 0.2639 0.7361  1 Np 2.03, 1 Y 2.27
O6 0.7361 0.7361 0.2639  1 Np 2.03, 1 Y 2.27

Formation energy (no corrections), kJ/mol of formula units: -2580